{
  "formula": "GdSiHO4",
  "functional": "PBE",
  "state": "relaxed",
  "relative_energy_mev_per_atom": 168,
  "crystal_system": "orthorhombic",
  "lattice": [[9.751, 0.000, 0.000], [0.000, 7.118, 0.000], [0.000, 0.000, 4.421]],
  "species": ["Si", "Si", "Si", "Si", "H", "H", "H", "H", "O", "O", "O", "O", "O", "O", "O", "O", "O", "O", "O", "O", "O", "O", "O", "O", "Gd", "Gd", "Gd", "Gd"],
  "fractional_positions": [[0.650, 0.250, 0.656], [0.350, 0.750, 0.344], [0.850, 0.750, 0.156], [0.150, 0.250, 0.844], [0.000, 0.000, 0.000], [0.500, 0.000, 0.500], [0.500, 0.500, 0.500], [0.000, 0.500, 0.000], [0.837, 0.750, 0.790], [0.304, 0.250, 0.707], [0.053, 0.436, 0.767], [0.663, 0.250, 0.290], [0.447, 0.564, 0.267], [0.196, 0.750, 0.207], [0.163, 0.250, 0.210], [0.053, 0.064, 0.767], [0.804, 0.250, 0.793], [0.553, 0.436, 0.733], [0.447, 0.936, 0.267], [0.947, 0.936, 0.233], [0.337, 0.750, 0.710], [0.553, 0.064, 0.733], [0.947, 0.564, 0.233], [0.696, 0.750, 0.293], [0.091, 0.750, 0.650], [0.591, 0.750, 0.850], [0.409, 0.250, 0.150], [0.909, 0.250, 0.350]]
}


{
  "formula": "GdScAg2Sn2",
  "functional": "PBE",
  "state": "relaxed",
  "crystal_system": "trigonal",
  "final_energy_ev_per_atom": -4.646,
  "lattice": [[4.688, 0.000, 0.000], [-2.344, 4.060, 0.000], [0.000, 0.000, 7.204]],
  "species": ["Ag", "Ag", "Sn", "Sn", "Sc", "Gd"],
  "fractional_positions": [[0.333, 0.667, 0.943], [0.667, 0.333, 0.458], [0.667, 0.333, 0.031], [0.333, 0.667, 0.548], [0.000, 0.000, 0.761], [0.000, 0.000, 0.260]]
}


{
  "formula": "Lu2BiPt",
  "functional": "PBE",
  "state": "relaxed",
  "crystal_system": "cubic",
  "final_energy_ev_per_atom": -5.049,
  "lattice": [[0.000, 3.628, 3.628], [3.628, 0.000, 3.628], [3.628, 3.628, 0.000]],
  "species": ["Lu", "Lu", "Pt", "Bi"],
  "fractional_positions": [[0.000, 0.000, 0.000], [0.750, 0.750, 0.750], [0.250, 0.250, 0.250], [0.500, 0.500, 0.500]]
}


{
  "formula": "Cs2Dy2SeO3",
  "functional": "PBE",
  "state": "relaxed",
  "crystal_system": "trigonal",
  "final_energy_ev_per_atom": -5.957,
  "lattice": [[-1.743, -1.000, 3.060], [3.652, 0.249, -0.028], [-0.916, 13.888, 4.018]],
  "species": ["Cs", "Cs", "O", "O", "O", "Se", "Dy", "Dy"],
  "fractional_positions": [[0.333, 0.667, 0.735], [0.667, 0.333, 0.275], [0.667, 0.333, 0.586], [0.667, 0.333, 0.898], [0.333, 0.667, 0.436], [0.333, 0.667, 0.094], [0.000, 0.000, 0.507], [0.000, 0.000, 0.968]]
}


{
  "formula": "Nd2Pu",
  "functional": "PBE",
  "state": "relaxed",
  "ef_ev_per_atom": 2.020,
  "crystal_system": "cubic",
  "lattice": [[-8.230, 0.294, 2.583], [-2.101, 4.182, 7.252], [-4.391, 7.419, -0.414]],
  "species": ["Nd", "Nd", "Nd", "Nd", "Pu", "Pu"],
  "fractional_positions": [[0.375, 0.375, 0.375], [0.875, 0.375, 0.375], [0.375, 0.375, 0.875], [0.375, 0.875, 0.375], [0.500, 0.500, 0.500], [0.250, 0.250, 0.250]]
}


{
  "formula": "TmBMo",
  "functional": "PBE",
  "state": "relaxed",
  "relative_energy_mev_per_atom": 1545,
  "crystal_system": "cubic",
  "lattice": [[4.085, 0.523, 1.488], [0.693, 0.868, 4.236], [1.791, -3.040, 2.593]],
  "species": ["Mo", "B", "Tm"],
  "fractional_positions": [[0.750, 0.750, 0.750], [0.250, 0.250, 0.250], [0.000, 0.000, 0.000]]
}


{
  "formula": "PrYCd6",
  "functional": "PBE",
  "state": "relaxed",
  "ef_ev_per_atom": -0.301,
  "relative_energy_mev_per_atom": 7,
  "crystal_system": "orthorhombic",
  "lattice": [[-1.448, -4.038, -2.301], [0.821, -3.416, 5.478], [-5.350, -0.190, 3.700]],
  "species": ["Y", "Pr", "Cd", "Cd", "Cd", "Cd", "Cd", "Cd"],
  "fractional_positions": [[0.000, 0.862, 0.862], [0.500, 0.136, 0.136], [0.500, 0.620, 0.191], [0.500, 0.676, 0.676], [0.500, 0.191, 0.620], [0.000, 0.381, 0.804], [0.000, 0.804, 0.381], [0.000, 0.330, 0.330]]
}


{
  "formula": "Ni3I",
  "functional": "PBE",
  "state": "relaxed",
  "relative_energy_mev_per_atom": 78,
  "crystal_system": "cubic",
  "lattice": [[0.000, 3.021, 3.021], [3.021, 0.000, 3.021], [3.021, 3.021, 0.000]],
  "species": ["Ni", "Ni", "Ni", "I"],
  "fractional_positions": [[0.000, 0.000, 0.000], [0.500, 0.500, 0.500], [0.250, 0.250, 0.250], [0.750, 0.750, 0.750]]
}


{
  "formula": "Ta2InGaPt2",
  "functional": "PBE",
  "state": "relaxed",
  "crystal_system": "monoclinic",
  "final_energy_ev_per_atom": -7.404,
  "lattice": [[-2.188, 9.816, -3.569], [-2.922, 0.507, 3.186], [7.904, 0.493, 7.170]],
  "species": ["Pt", "Pt", "Pt", "Pt", "Pt", "Pt", "Pt", "Pt", "Ta", "Ta", "Ta", "Ta", "Ta", "Ta", "Ta", "Ta", "Ga", "Ga", "Ga", "Ga", "In", "In", "In", "In"],
  "fractional_positions": [[0.002, 0.000, 0.008], [0.743, 0.000, 0.243], [0.494, 0.000, 0.494], [0.632, 0.500, 0.882], [0.874, 0.500, 0.624], [0.373, 0.500, 0.130], [0.129, 0.500, 0.373], [0.252, 0.000, 0.743], [0.002, 0.000, 0.250], [0.502, 0.000, 0.750], [0.372, 0.500, 0.373], [0.878, 0.500, 0.882], [0.251, 0.000, 0.005], [0.127, 0.500, 0.621], [0.746, 0.000, 0.496], [0.623, 0.500, 0.125], [0.498, 0.000, 0.249], [0.250, 0.000, 0.498], [0.125, 0.500, 0.126], [0.751, 0.000, 0.001], [0.875, 0.500, 0.373], [0.002, 0.000, 0.753], [0.375, 0.500, 0.876], [0.624, 0.500, 0.626]]
}


{
  "formula": "GdAlCu2Ge",
  "functional": "PBE",
  "state": "relaxed",
  "crystal_system": "tetragonal",
  "final_energy_ev_per_atom": -4.516,
  "lattice": [[-2.008, 2.008, 5.354], [2.008, -2.008, 5.354], [2.008, 2.008, -5.354]],
  "species": ["Cu", "Cu", "Gd", "Ge", "Al"],
  "fractional_positions": [[0.613, 0.613, 0.000], [0.387, 0.387, 0.000], [0.000, 0.000, 0.000], [0.250, 0.750, 0.500], [0.750, 0.250, 0.500]]
}


no.,magnetization (μB per formula unit)
1,0.001
2,0.005
3,0.004
4,0.003
5,6.126
6,2.842
7,0.003
8,0.002
9,0.001
10,0.003